Tm2Ga3Au5 GGA-PBE optimized geometry; formation enthalpy at 0 K = -0.529 eV/atom; energy above the lowest structure with this stoichiometry = 0.44 eV/f.u.; mass density = 12709 kg/m3; SG = Ibam (72); energy = -79.4 eV for the cell shown
1.0
-5.777 5.903 2.934
5.777 -5.903 2.934
5.777 5.903 -2.934
Tm Ga Au
4 6 10
direct
0.220 0.133 0.353 Tm
0.280 0.633 0.912 Tm
0.720 0.367 0.088 Tm
0.780 0.867 0.647 Tm
0.129 0.865 0.994 Ga
0.250 0.750 0.500 Ga
0.371 0.365 0.735 Ga
0.629 0.635 0.265 Ga
0.750 0.250 0.500 Ga
0.871 0.135 0.006 Ga
0.163 0.402 0.565 Au
0.250 0.250 0.000 Au
0.250 0.514 0.264 Au
0.250 0.986 0.736 Au
0.337 0.902 0.239 Au
0.663 0.098 0.761 Au
0.750 0.014 0.264 Au
0.750 0.486 0.736 Au
0.750 0.750 0.000 Au
0.837 0.598 0.435 Au